{"formula": "AlPbCl2", "functional": "PBE", "state": "optimized geometry", "lattice": [[3.815, -0.032, 0.000], [-1.864, 3.329, 0.000], [0.000, 0.000, 9.315]], "species": ["Pb", "Al", "Cl", "Cl"], "frac_coords": [[0.000, 0.000, 0.507], [0.500, 0.500, 0.768], [0.000, 0.000, 0.932], [0.500, 0.500, 0.294]], "sg": "No. 35", "e_above_lowest_polymorph_mev_per_atom": 120, "dos_at_fermi_per_ev_fu": 1.2, "e_form_raw_ev_per_atom": -0.4722, "volume_a3_per_atom": 29.44, "magnetic_moment_mub_per_cell": 0.00}